No. 1
This record from the Alexandria database describes a relaxed Nd4CuS2Cl crystal. The functional is GGA-PBE.

Properties
- Formation energy from raw total energies: -1.410 eV/atom
- Uncorrected energy: -5.569 eV/atom
- V: 196 Å³ per cell

```
data_Nd4CuS2Cl
_space_group_name_H-M_alt 'P 1'
_space_group_IT_number 1
_cell_length_a 7.1594
_cell_length_b 4.0302
_cell_length_c 7.1700
_cell_angle_alpha 90.00
_cell_angle_beta 108.68
_cell_angle_gamma 90.00
loop_
_space_group_symop_operation_xyz
'x,y,z'
loop_
_atom_site_label
_atom_site_type_symbol
_atom_site_fract_x
_atom_site_fract_y
_atom_site_fract_z
_atom_site_occupancy
Nd1 Nd 0.2354 0.0000 0.2325 1
Nd2 Nd 0.2471 0.5000 0.7545 1
Nd3 Nd 0.7529 0.5000 0.2455 1
Nd4 Nd 0.7646 0.0000 0.7675 1
Cu1 Cu 0.0000 0.0000 0.5000 1
S1 S 0.0000 0.5000 0.0000 1
S2 S 0.5000 0.0000 0.0000 1
Cl1 Cl 0.5000 0.5000 0.5000 1
```

=====

No. 2
This record from the Alexandria database describes a relaxed Nb8Fe crystal. The functional is GGA-PBE.

Properties
- Uncorrected energy: -9.896 eV/atom
- V: 157 Å³ per cell
- ΔE_f: -0.005 eV per atom

```
data_Nb8Fe
_space_group_name_H-M_alt 'P 1'
_space_group_IT_number 1
_cell_length_a 8.4807
_cell_length_b 7.2733
_cell_length_c 5.4444
_cell_angle_alpha 82.29
_cell_angle_beta 58.20
_cell_angle_gamma 39.51
loop_
_space_group_symop_operation_xyz
'x,y,z'
loop_
_atom_site_label
_atom_site_type_symbol
_atom_site_fract_x
_atom_site_fract_y
_atom_site_fract_z
_atom_site_occupancy
Nb1 Nb 0.1598 0.8402 0.1598 1
Nb2 Nb 0.1645 0.1645 0.8355 1
Nb3 Nb 0.1737 0.5004 0.4996 1
Nb4 Nb 0.5004 0.1737 0.8263 1
Nb5 Nb 0.4996 0.8263 0.1737 1
Nb6 Nb 0.8263 0.4996 0.5004 1
Nb7 Nb 0.8355 0.8355 0.1645 1
Nb8 Nb 0.8402 0.1598 0.8402 1
Fe1 Fe 0.5000 0.5000 0.5000 1
```

=====

No. 3
This record from the Alexandria database describes a relaxed RbLiGa2B crystal. The functional is GGA-PBE.

Properties
- Uncorrected energy: -1.179 eV/atom
- V: 187 Å³ per cell
- ΔE_f: 1.943 eV per atom

```
data_RbLiGa2B
_space_group_name_H-M_alt 'P 1'
_space_group_IT_number 1
_cell_length_a 6.0164
_cell_length_b 6.0164
_cell_length_c 5.1680
_cell_angle_alpha 90.00
_cell_angle_beta 90.00
_cell_angle_gamma 90.00
loop_
_space_group_symop_operation_xyz
'x,y,z'
loop_
_atom_site_label
_atom_site_type_symbol
_atom_site_fract_x
_atom_site_fract_y
_atom_site_fract_z
_atom_site_occupancy
Rb1 Rb 0.0000 0.0000 0.0000 1
Li1 Li 0.0000 0.0000 0.5000 1
Ga1 Ga 0.0000 0.5000 0.0000 1
Ga2 Ga 0.5000 0.0000 0.0000 1
B1 B 0.5000 0.5000 0.5000 1
```

=====

No. 4
This record from the Alexandria database describes a relaxed BaCr4P crystal. The functional is GGA-PBE.

Properties
- Uncorrected energy: -6.605 eV/atom
- V: 98 Å³ per cell
- ΔE_f: 1.033 eV per atom

```
data_BaCr4P
_space_group_name_H-M_alt 'P 1'
_space_group_IT_number 1
_cell_length_a 5.1696
_cell_length_b 5.1696
_cell_length_c 5.1696
_cell_angle_alpha 60.00
_cell_angle_beta 60.00
_cell_angle_gamma 60.00
loop_
_space_group_symop_operation_xyz
'x,y,z'
loop_
_atom_site_label
_atom_site_type_symbol
_atom_site_fract_x
_atom_site_fract_y
_atom_site_fract_z
_atom_site_occupancy
Ba1 Ba 0.0000 0.0000 0.0000 1
Cr1 Cr 0.1574 0.6142 0.6142 1
Cr2 Cr 0.6142 0.1574 0.6142 1
Cr3 Cr 0.6142 0.6142 0.1574 1
Cr4 Cr 0.6142 0.6142 0.6142 1
P1 P 0.2500 0.2500 0.2500 1
```

=====

No. 5
This record from the Alexandria database describes a relaxed Nd2Si5Rh3 crystal. The functional is GGA-PBE.

Properties
- Formation energy from raw total energies: -0.967 eV/atom
- Uncorrected energy: -6.837 eV/atom
- V: 344 Å³ per cell

```
data_Nd2Si5Rh3
_space_group_name_H-M_alt 'P 1'
_space_group_IT_number 1
_cell_length_a 8.2503
_cell_length_b 8.2503
_cell_length_c 8.2503
_cell_angle_alpha 105.74
_cell_angle_beta 88.92
_cell_angle_gamma 138.38
loop_
_space_group_symop_operation_xyz
'x,y,z'
loop_
_atom_site_label
_atom_site_type_symbol
_atom_site_fract_x
_atom_site_fract_y
_atom_site_fract_z
_atom_site_occupancy
Nd1 Nd 0.1309 0.2328 0.3637 1
Nd2 Nd 0.3691 0.7328 0.1019 1
Nd3 Nd 0.6309 0.2672 0.8981 1
Nd4 Nd 0.8691 0.7672 0.6363 1
Si1 Si 0.0264 0.7500 0.2764 1
Si2 Si 0.1069 0.6543 0.7612 1
Si3 Si 0.2500 0.2500 0.0000 1
Si4 Si 0.3931 0.1543 0.5473 1
Si5 Si 0.4736 0.7500 0.7236 1
Si6 Si 0.5264 0.2500 0.2764 1
Si7 Si 0.6069 0.8457 0.4527 1
Si8 Si 0.7500 0.7500 0.0000 1
Si9 Si 0.8931 0.3457 0.2388 1
Si10 Si 0.9736 0.2500 0.7236 1
Rh1 Rh 0.1389 0.8915 0.0304 1
Rh2 Rh 0.2500 0.7500 0.5000 1
Rh3 Rh 0.3611 0.3915 0.7526 1
Rh4 Rh 0.6389 0.6085 0.2474 1
Rh5 Rh 0.7500 0.2500 0.5000 1
Rh6 Rh 0.8611 0.1085 0.9696 1
```

=====

No. 6
This record from the Alexandria database describes a relaxed PuTh3Sn12 crystal. The functional is GGA-PBE.

Properties
- Uncorrected energy: -5.722 eV/atom
- V: 424 Å³ per cell
- ΔE_f: -0.433 eV per atom

```
data_PuTh3Sn12
_space_group_name_H-M_alt 'P 1'
_space_group_IT_number 1
_cell_length_a 4.7612
_cell_length_b 4.7612
_cell_length_c 18.6845
_cell_angle_alpha 90.00
_cell_angle_beta 90.00
_cell_angle_gamma 90.00
loop_
_space_group_symop_operation_xyz
'x,y,z'
loop_
_atom_site_label
_atom_site_type_symbol
_atom_site_fract_x
_atom_site_fract_y
_atom_site_fract_z
_atom_site_occupancy
Pu1 Pu 0.0000 0.0000 0.0000 1
Th1 Th 0.0000 0.0000 0.2482 1
Th2 Th 0.0000 0.0000 0.5000 1
Th3 Th 0.0000 0.0000 0.7518 1
Sn1 Sn 0.0000 0.5000 0.1213 1
Sn2 Sn 0.0000 0.5000 0.3740 1
Sn3 Sn 0.0000 0.5000 0.6260 1
Sn4 Sn 0.0000 0.5000 0.8787 1
Sn5 Sn 0.5000 0.0000 0.1213 1
Sn6 Sn 0.5000 0.0000 0.3740 1
Sn7 Sn 0.5000 0.0000 0.6260 1
Sn8 Sn 0.5000 0.0000 0.8787 1
Sn9 Sn 0.5000 0.5000 0.0000 1
Sn10 Sn 0.5000 0.5000 0.2469 1
Sn11 Sn 0.5000 0.5000 0.5000 1
Sn12 Sn 0.5000 0.5000 0.7531 1
```

=====

No. 7
This record from the Alexandria database describes a relaxed TaCdPb2Se crystal. The functional is GGA-PBE.

Properties
- Formation energy from raw total energies: 1.343 eV/atom
- Uncorrected energy: -3.391 eV/atom
- V: 159 Å³ per cell

```
data_TaCdPb2Se
_space_group_name_H-M_alt 'P 1'
_space_group_IT_number 1
_cell_length_a 5.5989
_cell_length_b 5.5989
_cell_length_c 5.0838
_cell_angle_alpha 90.00
_cell_angle_beta 90.00
_cell_angle_gamma 90.00
loop_
_space_group_symop_operation_xyz
'x,y,z'
loop_
_atom_site_label
_atom_site_type_symbol
_atom_site_fract_x
_atom_site_fract_y
_atom_site_fract_z
_atom_site_occupancy
Ta1 Ta 0.0000 0.0000 0.0000 1
Cd1 Cd 0.5000 0.5000 0.5000 1
Pb1 Pb 0.0000 0.5000 0.5000 1
Pb2 Pb 0.5000 0.0000 0.5000 1
Se1 Se 0.5000 0.5000 0.0000 1
```

=====

No. 8
This record from the Alexandria database describes a relaxed LaZn2Tc crystal. The functional is GGA-PBE.

Properties
- ΔE to the lowest computed polymorph: 213.9 meV per atom
- Uncorrected energy: -4.255 eV/atom
- V: 156 Å³ per cell
- ΔE_f: 0.206 eV per atom

```
data_LaZn2Tc
_space_group_name_H-M_alt 'P 1'
_space_group_IT_number 1
_cell_length_a 3.5148
_cell_length_b 5.0510
_cell_length_c 8.7903
_cell_angle_alpha 90.00
_cell_angle_beta 90.00
_cell_angle_gamma 90.00
loop_
_space_group_symop_operation_xyz
'x,y,z'
loop_
_atom_site_label
_atom_site_type_symbol
_atom_site_fract_x
_atom_site_fract_y
_atom_site_fract_z
_atom_site_occupancy
La1 La 0.0000 0.0000 0.0000 1
La2 La 0.5000 0.5000 0.5000 1
Zn1 Zn 0.0000 0.0000 0.4868 1
Zn2 Zn 0.0000 0.5000 0.2136 1
Zn3 Zn 0.5000 0.0000 0.7136 1
Zn4 Zn 0.5000 0.5000 0.9868 1
Tc1 Tc 0.0000 0.5000 0.7629 1
Tc2 Tc 0.5000 0.0000 0.2629 1
```

=====

No. 9
This record from the Alexandria database describes a relaxed TbTmIrPb crystal. The functional is GGA-PBE.

Properties
- ΔE to the lowest computed polymorph: 0.0 meV per atom
- Uncorrected energy: -6.108 eV/atom
- V: 97 Å³ per cell
- ΔE_f: -0.690 eV per atom

```
data_TbTmIrPb
_space_group_name_H-M_alt 'P 1'
_space_group_IT_number 1
_cell_length_a 3.4831
_cell_length_b 3.4831
_cell_length_c 7.9934
_cell_angle_alpha 90.00
_cell_angle_beta 90.00
_cell_angle_gamma 90.00
loop_
_space_group_symop_operation_xyz
'x,y,z'
loop_
_atom_site_label
_atom_site_type_symbol
_atom_site_fract_x
_atom_site_fract_y
_atom_site_fract_z
_atom_site_occupancy
Tb1 Tb 0.0000 0.0000 0.0000 1
Tm1 Tm 0.0000 0.0000 0.5917 1
Ir1 Ir 0.5000 0.5000 0.7893 1
Pb1 Pb 0.5000 0.5000 0.3010 1
```

=====

No. 10
This record from the Alexandria database describes a relaxed Ru2PbSe crystal. The functional is GGA-PBE.

Properties
- ΔE to the lowest computed polymorph: 331.3 meV per atom
- Formation energy from raw total energies: 0.562 eV/atom
- Uncorrected energy: -5.874 eV/atom
- V: 146 Å³ per cell

```
data_Ru2PbSe
_space_group_name_H-M_alt 'P 1'
_space_group_IT_number 1
_cell_length_a 3.1334
_cell_length_b 5.3945
_cell_length_c 8.6438
_cell_angle_alpha 90.00
_cell_angle_beta 90.00
_cell_angle_gamma 90.00
loop_
_space_group_symop_operation_xyz
'x,y,z'
loop_
_atom_site_label
_atom_site_type_symbol
_atom_site_fract_x
_atom_site_fract_y
_atom_site_fract_z
_atom_site_occupancy
Ru1 Ru 0.0000 0.0000 0.2195 1
Ru2 Ru 0.0000 0.0000 0.7805 1
Ru3 Ru 0.5000 0.5000 0.2805 1
Ru4 Ru 0.5000 0.5000 0.7195 1
Pb1 Pb 0.0000 0.5000 0.0000 1
Pb2 Pb 0.5000 0.0000 0.5000 1
Se1 Se 0.0000 0.5000 0.5000 1
Se2 Se 0.5000 0.0000 0.0000 1
```